# 1
A plane-wave DFT calculation with GGA-PBE was carried out for crystalline AsSe2NF at its relaxed geometry.

Values from the calculation:
Crystal system: tetragonal
E: -3.480 eV/atom
SG: P4/mmm
Energy above the lowest structure with this stoichiometry: 205 meV per atom
Spin magnetization: 0.02 μB per formula unit
Calculated volume: 18.8 Å³/atom

Lattice parameters (Å, degrees): 5.116 5.116 3.590 90.00 90.00 90.00
Sites, in units of the cell vectors:
As (0.000, 0.000, 0.000)
Se (0.000, 0.500, 0.000)
Se (0.500, 0.000, 0.000)
N (0.000, 0.000, 0.500)
F (0.500, 0.500, 0.500)

=====

# 2
A plane-wave DFT calculation with GGA-PBE was carried out for crystalline AsSeN2F at its relaxed geometry.

Values from the calculation:
Crystal system: tetragonal
E: -4.161 eV/atom
SG: P4/mmm
Energy above the lowest structure with this stoichiometry: 262 meV per atom
Spin magnetization: 0.00 μB per formula unit
Calculated volume: 12.7 Å³/atom

Lattice parameters (Å, degrees): 4.015 4.015 3.949 90.00 90.00 90.00
Sites, in units of the cell vectors:
As (0.000, 0.000, 0.000)
Se (0.500, 0.500, 0.500)
N (0.000, 0.500, 0.500)
N (0.500, 0.000, 0.500)
F (0.500, 0.500, 0.000)

=====

# 3
A plane-wave DFT calculation with GGA-PBE was carried out for crystalline AsSe2NF at its relaxed geometry.

Values from the calculation:
Crystal system: tetragonal
E: -3.056 eV/atom
SG: P4/mmm
Energy above the lowest structure with this stoichiometry: 630 meV per atom
Spin magnetization: 1.50 μB per formula unit
Calculated volume: 17.2 Å³/atom

Lattice parameters (Å, degrees): 4.712 4.712 3.883 90.00 90.00 90.00
Sites, in units of the cell vectors:
As (0.000, 0.000, 0.000)
Se (0.000, 0.500, 0.500)
Se (0.500, 0.000, 0.500)
N (0.500, 0.500, 0.000)
F (0.500, 0.500, 0.500)

=====

# 4
A plane-wave DFT calculation with GGA-PBE was carried out for crystalline AsSe2NF at its relaxed geometry.

Values from the calculation:
Crystal system: tetragonal
E: -3.685 eV/atom
SG: P4/mmm
Energy above the lowest structure with this stoichiometry: 0 meV per atom
Spin magnetization: 0.00 μB per formula unit
Calculated volume: 16.3 Å³/atom

Lattice parameters (Å, degrees): 4.287 4.287 4.443 90.00 90.00 90.00
Sites, in units of the cell vectors:
As (0.000, 0.000, 0.000)
Se (0.000, 0.500, 0.500)
Se (0.500, 0.000, 0.500)
N (0.000, 0.000, 0.500)
F (0.500, 0.500, 0.000)

=====

Raw formation energy for the records above, in order: 0.883; 1.170; 1.307; 0.678 eV/atom